(1)
A crystal of ScZnNi relaxed with PBEsol. Source: Alexandria, functional SCAN.

Structure (CIF):
```
data_ScZnNi
_space_group_name_H-M_alt 'F -4 3 m'
_space_group_IT_number 216
_space_group_name_Hall 'F -4 2 3'
_cell_length_a 5.865
_cell_length_b 5.865
_cell_length_c 5.865
_cell_angle_alpha 90.00
_cell_angle_beta 90.00
_cell_angle_gamma 90.00
loop_
_atom_site_label
_atom_site_type_symbol
_atom_site_fract_x
_atom_site_fract_y
_atom_site_fract_z
_atom_site_occupancy
Sc1 Sc 0.000 0.000 0.000 1
Zn1 Zn 0.000 0.000 0.500 1
Ni1 Ni 0.250 0.250 0.250 1
```



(2)
A crystal of ScZnNi2 relaxed with PBEsol. Source: Alexandria, functional SCAN.

Structure (CIF):
```
data_ScZnNi2
_space_group_name_H-M_alt 'P m m 2'
_space_group_IT_number 25
_space_group_name_Hall 'P 2 -2'
_cell_length_a 2.878
_cell_length_b 3.563
_cell_length_c 5.230
_cell_angle_alpha 90.00
_cell_angle_beta 90.00
_cell_angle_gamma 90.00
loop_
_atom_site_label
_atom_site_type_symbol
_atom_site_fract_x
_atom_site_fract_y
_atom_site_fract_z
_atom_site_occupancy
Sc1 Sc 0.000 0.000 0.000 1
Zn1 Zn 0.500 0.500 0.314 1
Ni1 Ni 0.000 0.000 0.511 1
Ni2 Ni 0.500 0.500 0.770 1
```



no.,total magnetization (μB per atom),energy of formation (meV/atom)
1,0.000,-279.6
2,0.000,-253.6